Pr3Y2Tm2 after structural relaxation, computed with PBE.

abc: 3.5544 8.6392 8.8257
angles: 117.86 90.03 101.87
Element x y z (fractional)
Pr  0.0000  0.0000  0.0000
Pr  0.2944  0.5877  0.7137
Pr  0.7056  0.4123  0.2863
Y  0.0699  0.1414  0.4322
Y  0.9301  0.8586  0.5678
Tm  0.3613  0.7231  0.1669
Tm  0.6387  0.2769  0.8331

Its crystal system is triclinic. For the density of states at the Fermi level, the calculation gives 1.37 states/eV/atom. The value obtained for the volume is 233.0 Å³ per cell. The value obtained for the uncorrected energy is -35.9 eV for the cell shown. The space group is No. 2. Its formation energy from the elements is 0.046 eV per atom.

---

MgPt2Se after structural relaxation, computed with PBE.

abc: 8.7076 8.7076 8.7076
angles: 19.95 19.95 19.95
Element x y z (fractional)
Mg  0.7500  0.7500  0.7500
Pt  0.0006  0.0006  0.0006
Pt  0.4994  0.4994  0.4994
Se  0.2500  0.2500  0.2500

Its crystal system is trigonal. For the density of states at the Fermi level, the calculation gives 0.85 states/eV/atom. The value obtained for the volume is 67.2 Å³ per cell. The value obtained for the uncorrected energy is -18.1 eV for the cell shown. The space group is No. 166.